[1]
A plane-wave DFT calculation with PBE was carried out for a geometry-optimized VRh3W structure.

a b c (Å): 4.432 4.432 4.432
angles (deg): 90.00 90.00 90.00
Fractional coordinates of all 5 atoms:
V1 0.000 0.000 0.000
Rh1 0.000 0.000 0.500
Rh2 0.000 0.500 0.000
Rh3 0.500 0.000 0.000
W1 0.500 0.500 0.500

Properties
Space-group type = Pm-3m
Magnetic moment = 3.2 Bohr magnetons per cell
Formation energy from the elements = 1.132 eV per atom
Energy above the most stable polymorph in this dataset = 105.43 kJ per mole of atoms
Raw total energy = -7.69 eV per atom

---

[2]
A plane-wave DFT calculation with PBE was carried out for a geometry-optimized VRh6W structure.

a b c (Å): 5.428 5.428 3.845
angles (deg): 90.00 90.00 90.00
Fractional coordinates of all 8 atoms:
V1 0.000 0.000 0.000
Rh1 0.000 0.500 0.000
Rh2 0.249 0.249 0.500
Rh3 0.249 0.751 0.500
Rh4 0.500 0.000 0.000
Rh5 0.751 0.249 0.500
Rh6 0.751 0.751 0.500
W1 0.500 0.500 0.000

Properties
Space-group type = P4/mmm
Magnetic moment = 0.0 Bohr magnetons per cell
Formation energy from the elements = -0.316 eV per atom
Raw total energy = -8.59 eV per atom

---

[3]
A plane-wave DFT calculation with PBE was carried out for a geometry-optimized V15Rh2W2 structure.

a b c (Å): 6.590 6.590 6.590
angles (deg): 80.54 80.54 80.54
Fractional coordinates of all 19 atoms:
V1 0.000 0.000 0.500
V2 0.000 0.309 0.691
V3 0.000 0.500 0.000
V4 0.000 0.691 0.309
V5 0.168 0.644 0.644
V6 0.309 0.000 0.691
V7 0.309 0.691 0.000
V8 0.356 0.356 0.832
V9 0.356 0.832 0.356
V10 0.500 0.000 0.000
V11 0.644 0.168 0.644
V12 0.644 0.644 0.168
V13 0.691 0.000 0.309
V14 0.691 0.309 0.000
V15 0.832 0.356 0.356
Rh1 0.310 0.310 0.310
Rh2 0.690 0.690 0.690
W1 0.099 0.099 0.099
W2 0.901 0.901 0.901

Properties
Space-group type = R-3m
Magnetic moment = 0.0 Bohr magnetons per cell
Formation energy from the elements = 0.278 eV per atom
Raw total energy = -9.06 eV per atom

---

no.,theoretical density (Mg/m³)
1,10.37
2,12.49
3,8.06